(1)
A relaxed structure of NaRhPb2C, computed with GGA-PBE.

Results
Mass density ... 8.74 Mg/m³
Space-group type ... P4/mmm
V ... 104.91 Å³/cell
Energy of formation ... 1.01 eV/atom

abc: 4.834 4.489 4.834
angles: 90.00 90.00 90.00
Fractional coordinates of all 5 atoms:
Rh  0.500  0.500  0.500
C  0.000  0.000  0.000
Na  0.000  0.500  0.000
Pb  0.000  0.000  0.500
Pb  0.500  0.000  0.000

---

(2)
A relaxed structure of NaRhPbC2, computed with GGA-PBE.

Results
Mass density ... 6.84 Mg/m³
Space-group type ... P4/mmm
V ... 86.66 Å³/cell
Energy of formation ... 2.62 eV/atom

abc: 4.258 4.781 4.258
angles: 90.00 90.00 90.00
Fractional coordinates of all 5 atoms:
Rh  0.000  0.500  0.000
C  0.000  0.000  0.500
C  0.500  0.000  0.000
Na  0.000  0.000  0.000
Pb  0.500  0.500  0.500

---

(3)
A relaxed structure of NaSc2PbC, computed with GGA-PBE.

Results
Mass density ... 5.51 Mg/m³
Space-group type ... P4/mmm
V ... 100.13 Å³/cell
Energy of formation ... -0.18 eV/atom

abc: 4.552 4.552 4.833
angles: 90.00 90.00 90.00
Fractional coordinates of all 5 atoms:
C  0.000  0.000  0.000
Na  0.000  0.000  0.500
Sc  0.500  0.000  0.000
Sc  0.000  0.500  0.000
Pb  0.500  0.500  0.500

---

(4)
A relaxed structure of NaY2PbC, computed with GGA-PBE.

Results
Mass density ... 5.92 Mg/m³
Polymorph energy (0 for the lowest one) ... 0.000 eV per atom
Space-group type ... P4/mmm
V ... 117.75 Å³/cell
Energy of formation ... -0.16 eV/atom

abc: 4.914 4.914 4.877
angles: 90.00 90.00 90.00
Fractional coordinates of all 5 atoms:
Na  0.000  0.000  0.500
Pb  0.500  0.500  0.500
Y  0.500  0.000  0.000
Y  0.000  0.500  0.000
C  0.000  0.000  0.000

---

(5)
A relaxed structure of NaY2PbC, computed with GGA-PBE.

Results
Mass density ... 5.48 Mg/m³
Polymorph energy (0 for the lowest one) ... 1.387 eV per atom
Space-group type ... P4/mmm
V ... 127.19 Å³/cell
Energy of formation ... 1.23 eV/atom

abc: 5.515 4.182 5.515
angles: 90.00 90.00 90.00
Fractional coordinates of all 5 atoms:
Y  0.500  0.000  0.000
Y  0.000  0.000  0.500
Na  0.000  0.000  0.000
Pb  0.500  0.500  0.500
C  0.000  0.500  0.000

---

(6)
A relaxed structure of NaZnPb2C, computed with GGA-PBE.

Results
Mass density ... 5.66 Mg/m³
Polymorph energy (0 for the lowest one) ... 0.716 eV per atom
Space-group type ... P4/mmm
V ... 151.10 Å³/cell
Energy of formation ... 1.50 eV/atom

abc: 5.313 5.353 5.313
angles: 90.00 90.00 90.00
Last column: magnetic moment on the atom in μB.
Fractional coordinates of all 5 atoms:
C  0.500  0.500  0.500  0.85
Pb  0.500  0.000  0.000  -0.05
Pb  0.000  0.000  0.500  -0.06
Zn  0.000  0.000  0.000  -0.01
Na  0.000  0.500  0.000  -0.01